The following is a DFT calculation (PBE) of an optimized crystal structure of Ce4Sb2C.

Values from the calculation:
V = 27.50 Å³/atom
raw formation energy = -66.5 kJ per mole of atoms
DOS(E_F) = 17.32 states/eV/f.u.
SG = No. 139

Lattice parameters (Å, degrees): 4.8516 4.8516 8.8697 74.13 74.13 90.00
With the nearest neighbours (Å) after each atom.
Fractional positions:
Sb 0.6411 0.6411 0.7178  9 Ce 3.28-3.44
C 0.0000 0.0000 0.0000  6 Ce 2.43-2.59
Ce 0.1586 0.1586 0.6828  1 C 2.59
Sb 0.3589 0.3589 0.2822  9 Ce 3.28-3.44
Ce 0.0000 0.5000 0.0000  2 C 2.43
Ce 0.8414 0.8414 0.3172  1 C 2.59
Ce 0.5000 0.0000 0.0000  2 C 2.43